(1)
Pr2Ge5Ru3 | GGA-PBEsol | optimized geometry

- ΔE_f (eV/f.u.) = -6.66
- magnetic moment (μB per cell) = 0.00
- space-group type = No. 72

a = 8.455 Å, b = 8.455 Å, c = 8.455 Å
α = 108.30°, β = 85.58°, γ = 139.73°
Fractional positions:
Pr 0.137 0.231 0.368
Pr 0.363 0.731 0.095
Pr 0.637 0.269 0.905
Pr 0.863 0.769 0.632
Ge 0.041 0.750 0.291
Ge 0.091 0.671 0.762
Ge 0.250 0.250 0.000
Ge 0.409 0.171 0.581
Ge 0.459 0.750 0.709
Ge 0.541 0.250 0.291
Ge 0.591 0.829 0.419
Ge 0.750 0.750 0.000
Ge 0.909 0.329 0.238
Ge 0.959 0.250 0.709
Ru 0.146 0.908 0.054
Ru 0.250 0.750 0.500
Ru 0.354 0.408 0.762
Ru 0.646 0.592 0.238
Ru 0.750 0.250 0.500
Ru 0.854 0.092 0.946

(2)
Mg2PtBr | GGA-PBEsol | optimized geometry

- formation energy (no corrections) (eV/atom) = -0.717
- energy above the most stable polymorph in this dataset (eV per atom) = 0.048
- magnetic moment (μB per cell) = 0.00
- space-group type = No. 123

a = 3.264 Å, b = 3.264 Å, c = 7.230 Å
α = 90.00°, β = 90.00°, γ = 90.00°
Fractional positions:
Mg 0.000 0.000 0.204
Mg 0.000 0.000 0.796
Pt 0.500 0.500 0.000
Br 0.500 0.500 0.500

(3)
IrRhPb2 | GGA-PBEsol | optimized geometry

- ΔE_f (eV/f.u.) = 1.17
- magnetic moment (μB per cell) = 0.47
- space-group type = No. 99

a = 3.113 Å, b = 3.113 Å, c = 8.377 Å
α = 90.00°, β = 90.00°, γ = 90.00°
Fractional positions:
Ir 0.000 0.000 0.000
Rh 0.500 0.500 0.812
Pb 0.000 0.000 0.591
Pb 0.500 0.500 0.226

(4)
Ca2CrAs | GGA-PBEsol | optimized geometry

- ΔE_f (eV/f.u.) = 0.13
- magnetic moment (μB per cell) = 5.07
- space-group type = No. 166

a = 7.799 Å, b = 7.799 Å, c = 7.799 Å
α = 31.93°, β = 31.93°, γ = 31.93°
Fractional positions:
Ca 0.232 0.232 0.232
Ca 0.768 0.768 0.768
Cr 0.000 0.000 0.000
As 0.500 0.500 0.500

(5)
AlVF5 | GGA-PBEsol | optimized geometry

- formation energy (no corrections) (eV/atom) = -3.025
- magnetic moment (μB per cell) = 3.00
- space-group type = No. 71

a = 5.192 Å, b = 5.192 Å, c = 5.192 Å
α = 140.19°, β = 107.09°, γ = 86.44°
Fractional positions:
Al 0.000 0.000 0.000
V 0.500 0.500 0.000
F 0.000 0.500 0.500
F 0.235 0.235 0.000
F 0.300 0.000 0.300
F 0.700 0.000 0.700
F 0.765 0.765 0.000

(6)
Si3Ir2 | GGA-PBEsol | optimized geometry

- formation energy (no corrections) (eV/atom) = -0.440
- magnetic moment (μB per cell) = 0.00
- space-group type = No. 43

a = 6.583 Å, b = 5.654 Å, c = 8.091 Å
α = 53.75°, β = 43.84°, γ = 82.41°
Fractional positions:
Si 0.000 0.000 0.000
Si 0.250 0.250 0.250
Si 0.400 0.531 0.692
Si 0.531 0.400 0.377
Si 0.558 0.873 0.850
Si 0.873 0.558 0.719
Ir 0.125 0.848 0.709
Ir 0.541 0.931 0.125
Ir 0.848 0.125 0.319
Ir 0.931 0.541 0.402

(7)
Rb3CaTl | GGA-PBEsol | optimized geometry

- ΔE_f (eV/f.u.) = 1.42
- magnetic moment (μB per cell) = 0.00
- space-group type = No. 221

a = 6.922 Å, b = 6.922 Å, c = 6.922 Å
α = 90.00°, β = 90.00°, γ = 90.00°
Fractional positions:
Rb 0.000 0.000 0.500
Rb 0.000 0.500 0.000
Rb 0.500 0.000 0.000
Ca 0.500 0.500 0.500
Tl 0.000 0.000 0.000

(8)
Re2OsRh | GGA-PBEsol | optimized geometry

- energy above the most stable polymorph in this dataset (eV per atom) = 0.000
- ΔE_f (eV/f.u.) = -0.61
- magnetic moment (μB per cell) = 0.00
- space-group type = No. 25

a = 2.728 Å, b = 4.342 Å, c = 4.751 Å
α = 90.00°, β = 90.00°, γ = 90.00°
Fractional positions:
Re 0.000 0.000 0.000
Re 0.000 0.500 0.332
Os 0.500 0.000 0.501
Rh 0.500 0.500 0.840